Entry from Alexandria via LeMat-Bulk: GaB3S after structural relaxation (PBE-GGA).

Properties
As for the energy relative to the lowest polymorph listed for this composition: 319 meV/atom. The total energy comes out at -3.511 eV/atom. The space group is Pm-3m, No. 221. The formation energy (no corrections) comes out at 1.93 eV per atom.

Unit cell a=4.168 b=4.168 c=4.168 alpha=90.00 beta=90.00 gamma=90.00
Fractional positions:
Ga: 0.000 0.000 0.000
B: 0.000 0.000 0.500
B: 0.000 0.500 0.000
B: 0.500 0.000 0.000
S: 0.500 0.500 0.500